DFT (GGA-PBEsol) results for a geometry-optimized V3FeSn2P6O24 structure.

Values from the calculation:
Density: 3.65 Mg/m³
Magnetization: 0.23 μB per atom
Formation energy from raw total energies: -2.089 eV per atom

Cell lengths 8.956, 8.956, 8.956 Å; angles 56.13, 56.13, 56.13 degrees
Fractional positions:
V 0.000 0.000 0.000
V 0.208 0.208 0.208
V 0.703 0.703 0.703
Fe 0.509 0.509 0.509
Sn 0.370 0.370 0.370
Sn 0.844 0.844 0.844
P 0.100 0.823 0.388
P 0.314 0.605 0.892
P 0.388 0.100 0.823
P 0.605 0.892 0.314
P 0.823 0.388 0.100
P 0.892 0.314 0.605
O 0.049 0.860 0.231
O 0.059 0.307 0.412
O 0.116 0.996 0.365
O 0.125 0.767 0.953
O 0.231 0.049 0.860
O 0.290 0.645 0.392
O 0.307 0.412 0.059
O 0.324 0.613 0.711
O 0.365 0.116 0.996
O 0.392 0.290 0.645
O 0.412 0.059 0.307
O 0.486 0.631 0.863
O 0.584 0.935 0.776
O 0.613 0.711 0.324
O 0.631 0.863 0.486
O 0.645 0.392 0.290
O 0.711 0.324 0.613
O 0.767 0.953 0.125
O 0.776 0.584 0.935
O 0.860 0.231 0.049
O 0.863 0.486 0.631
O 0.935 0.776 0.584
O 0.953 0.125 0.767
O 0.996 0.365 0.116